VASP calculation (GGA-PBE) on crystalline CeHgPb at its relaxed geometry.

Output
- formation enthalpy at 0 K (eV/atom) = -0.31
- offset from the most stable computed form (eV/atom) = 0.059

abc: 4.9534 4.9534 4.0713
angles: 90.00 90.00 120.00
With the nearest neighbours (Å) after each atom.
Space group P3m1 (No. 156)
Unique sites:
Ce  0.0000  0.0000  0.0000 (multiplicity 1)  3 Hg 3.17, 3 Pb 3.31
Hg  0.6667  0.3333  0.3344 (multiplicity 1)  3 Pb 3.04, 3 Ce 3.17
Pb  0.3333  0.6667  0.5911 (multiplicity 1)  3 Hg 3.04, 3 Ce 3.31

=====

VASP calculation (GGA-PBE) on crystalline Dy2Cd3Ga2 at its relaxed geometry.

Output
- formation enthalpy at 0 K (eV/atom) = -0.38

abc: 4.2579 20.8136 3.6139
angles: 90.00 90.00 90.00
With the nearest neighbours (Å) after each atom.
Space group Cmmm (No. 65)
Unique sites:
Dy  0.0000  0.1632  0.0000 (multiplicity 4)  6 Ga 2.99-3.12
Cd  0.0000  0.0000  0.0000 (multiplicity 2)  8 Cd 3.18, 2 Dy 3.40
Cd  0.0000  0.4273  0.5000 (multiplicity 4)  1 Ga 2.96, 5 Cd 3.03-3.18
Ga  0.0000  0.2852  0.5000 (multiplicity 4)  2 Ga 2.58

=====

VASP calculation (GGA-PBE) on crystalline RbScP2S at its relaxed geometry.

Output
- ΔE_f (raw) (eV/f.u.) = -1.53
- offset from the most stable computed form (eV/atom) = 0.000

abc: 5.0919 5.0919 5.0960
angles: 90.00 90.00 90.00
With the nearest neighbours (Å) after each atom.
Space group P4/mmm (No. 123)
Unique sites:
Rb  0.0000  0.0000  0.0000 (multiplicity 1)  4 S 3.60, 8 P 3.60
Sc  0.5000  0.5000  0.5000 (multiplicity 1)  4 P 2.55, 2 S 2.55
P  0.0000  0.5000  0.5000 (multiplicity 2)  2 Sc 2.55
S  0.5000  0.5000  0.0000 (multiplicity 1)  2 Sc 2.55

=====

VASP calculation (GGA-PBE) on crystalline Pm2ZnSn4Pd3 at its relaxed geometry.

Output
- formation enthalpy at 0 K (eV/atom) = -0.68

abc: 4.4387 4.4387 11.4030
angles: 90.00 90.00 90.00
With the nearest neighbours (Å) after each atom.
Space group P-4m2 (No. 115)
Unique sites:
Pm  0.0000  0.5000  0.2416 (multiplicity 2)  8 Sn 3.36-3.69, 6 Pd 3.43-3.54, 2 Zn 3.54
Zn  0.5000  0.5000  0.0000 (multiplicity 1)  4 Sn 2.70
Sn  0.0000  0.0000  0.5000 (multiplicity 1)  4 Pd 2.71
Sn  0.0000  0.5000  0.8644 (multiplicity 2)  3 Pd 2.60-2.70, 2 Zn 2.70
Sn  0.5000  0.5000  0.5000 (multiplicity 1)  4 Pd 2.71
Pd  0.0000  0.0000  0.0000 (multiplicity 1)  4 Sn 2.70
Pd  0.0000  0.5000  0.6361 (multiplicity 2)  5 Sn 2.60-2.71

=====

Number 1: total moment 0.81 μB per formula unit. Number 2: total moment 0.00 μB per formula unit. Number 3: total moment 0.96 μB per formula unit. Number 4: total moment 0.00 μB per formula unit.